1.
## Pm2ErTl2Cd2 (PBE-GGA)

Data for crystalline Pm2ErTl2Cd2 at its relaxed geometry.

Unit cell a=4.9966 b=4.9966 c=9.6401 alpha=74.98 beta=74.98 gamma=60.00
Last column: nearest neighbours and their distance in Å.
Fractional coordinates of all 7 atoms:
Pm 0.1260 0.1260 0.6221  3 Tl 3.22, 1 Er 3.48, 3 Cd 3.50
Pm 0.8740 0.8740 0.3779  3 Tl 3.22, 1 Er 3.48, 3 Cd 3.50
Er 0.0000 0.0000 0.0000  6 Cd 3.25, 2 Pm 3.48, 6 Tl 3.53
Tl 0.7406 0.7406 0.7782  3 Cd 2.94, 3 Pm 3.22
Tl 0.2594 0.2594 0.2218  3 Cd 2.94, 3 Pm 3.22
Cd 0.6123 0.6123 0.1630  3 Tl 2.94, 3 Er 3.25
Cd 0.3877 0.3877 0.8370  3 Tl 2.94, 3 Er 3.25



2.
## PmYErCd (PBE-GGA)

Data for crystalline PmYErCd at its relaxed geometry.

Unit cell a=5.4824 b=5.4824 c=5.4824 alpha=60.00 beta=60.00 gamma=60.00
Last column: nearest neighbours and their distance in Å.
Fractional coordinates of all 4 atoms:
Y 0.5000 0.5000 0.5000  4 Er 3.36, 4 Cd 3.36
Cd 0.7500 0.7500 0.7500  4 Pm 3.36, 4 Y 3.36
Pm 0.0000 0.0000 0.0000  4 Cd 3.36, 4 Er 3.36
Er 0.2500 0.2500 0.2500  4 Y 3.36, 4 Pm 3.36



3.
## PmYErCd (PBE-GGA)

Data for crystalline PmYErCd at its relaxed geometry.

Unit cell a=3.6141 b=3.6141 c=9.0379 alpha=90.00 beta=90.00 gamma=90.00
Last column: nearest neighbours and their distance in Å.
Fractional coordinates of all 4 atoms:
Pm 0.0000 0.0000 0.0745  4 Er 3.57, 4 Y 3.61, 4 Pm 3.61
Y 0.5000 0.5000 0.7927  4 Cd 3.26, 4 Pm 3.61, 4 Y 3.61
Er 0.5000 0.5000 0.3497  4 Cd 3.23, 4 Pm 3.57, 4 Er 3.61
Cd 0.0000 0.0000 0.5679  4 Er 3.23, 4 Y 3.26, 4 Cd 3.61



4.
## PrEr2Cd (PBE-GGA)

Data for crystalline PrEr2Cd at its relaxed geometry.

Unit cell a=4.8863 b=4.8795 c=4.8795 alpha=90.00 beta=90.00 gamma=90.00
Last column: nearest neighbours and their distance in Å.
Fractional coordinates of all 4 atoms:
Pr 0.5000 0.0000 0.0000  4 Cd 3.45, 8 Er 3.45
Cd 0.5000 0.5000 0.5000  4 Pr 3.45, 8 Er 3.45
Er 0.0000 0.0000 0.5000  4 Er 3.45, 4 Cd 3.45, 4 Pr 3.45
Er 0.0000 0.5000 0.0000  4 Er 3.45, 4 Cd 3.45, 4 Pr 3.45



5.
## Pr4ErCd (PBE-GGA)

Data for crystalline Pr4ErCd at its relaxed geometry.

Unit cell a=6.4397 b=9.1696 c=8.5834 alpha=113.25 beta=100.17 gamma=111.81
Last column: nearest neighbours and their distance in Å.
Fractional coordinates of all 12 atoms:
Pr 0.0476 0.1730 0.7697  2 Cd 3.36-3.40, 4 Pr 3.46-3.71, 2 Er 3.49-3.57
Pr 0.7579 0.7103 0.6167  2 Cd 3.32-3.34, 6 Pr 3.46-3.71, 1 Er 3.68
Pr 0.2220 0.5967 0.7697  2 Cd 3.36-3.40, 4 Pr 3.46-3.71, 2 Er 3.49-3.57
Pr 0.3588 0.9064 0.6167  2 Cd 3.32-3.34, 6 Pr 3.46-3.71, 1 Er 3.68
Pr 0.6412 0.0936 0.3833  2 Cd 3.32-3.34, 6 Pr 3.46-3.71, 1 Er 3.68
Pr 0.7780 0.4033 0.2303  2 Cd 3.36-3.40, 4 Pr 3.46-3.71, 2 Er 3.49-3.57
Pr 0.2421 0.2897 0.3833  2 Cd 3.32-3.34, 6 Pr 3.46-3.71, 1 Er 3.68
Pr 0.9524 0.8270 0.2303  2 Cd 3.36-3.40, 4 Pr 3.46-3.71, 2 Er 3.49-3.57
Er 0.3391 0.5891 0.1782  10 Pr 3.49-3.85
Er 0.6609 0.4109 0.8218  10 Pr 3.49-3.85
Cd 0.2513 0.0013 0.0026  2 Cd 3.22, 8 Pr 3.32-3.40
Cd 0.7487 0.9987 0.9974  2 Cd 3.22, 8 Pr 3.32-3.40



6.
## Pr2Er4Cd (PBE-GGA)

Data for crystalline Pr2Er4Cd at its relaxed geometry.

Unit cell a=8.1360 b=8.1360 c=6.6701 alpha=127.58 beta=127.58 gamma=90.00
Last column: nearest neighbours and their distance in Å.
Fractional coordinates of all 7 atoms:
Pr 0.7500 0.2500 0.5000  4 Er 3.15, 2 Pr 3.38
Pr 0.2500 0.7500 0.5000  4 Er 3.15, 2 Pr 3.38
Er 0.8663 0.2813 0.1477  2 Pr 3.15, 1 Cd 3.40, 4 Er 3.51-3.52
Er 0.2813 0.8663 0.1477  2 Pr 3.15, 1 Cd 3.40, 4 Er 3.51-3.52
Er 0.7187 0.7187 0.8523  2 Pr 3.15, 1 Cd 3.40, 4 Er 3.51-3.52
Er 0.1337 0.1337 0.8523  2 Pr 3.15, 1 Cd 3.40, 4 Er 3.51-3.52
Cd 0.5000 0.5000 0.0000  8 Er 3.40-3.74



7.
## PrEr4Cd4 (PBE-GGA)

Data for crystalline PrEr4Cd4 at its relaxed geometry.

Unit cell a=5.5135 b=9.5293 c=9.5293 alpha=90.00 beta=90.00 gamma=90.00
Last column: nearest neighbours and their distance in Å.
Fractional coordinates of all 18 atoms:
Pr 0.0000 0.0000 0.0000  4 Cd 3.30, 4 Er 3.43
Pr 0.5000 0.5000 0.5000  4 Cd 3.30, 4 Er 3.43
Er 0.4466 0.4254 0.8507  4 Cd 3.10-3.22, 1 Er 3.18, 1 Pr 3.43
Er 0.9466 0.6493 0.9254  4 Cd 3.10-3.22, 1 Er 3.18, 1 Pr 3.43
Er 0.4466 0.5746 0.1493  4 Cd 3.10-3.22, 1 Er 3.18, 1 Pr 3.43
Er 0.0534 0.0746 0.6493  4 Cd 3.10-3.22, 1 Er 3.18, 1 Pr 3.43
Er 0.5534 0.8507 0.5746  4 Cd 3.10-3.22, 1 Er 3.18, 1 Pr 3.43
Er 0.0534 0.9254 0.3507  4 Cd 3.10-3.22, 1 Er 3.18, 1 Pr 3.43
Er 0.9466 0.3507 0.0746  4 Cd 3.10-3.22, 1 Er 3.18, 1 Pr 3.43
Er 0.5534 0.1493 0.4254  4 Cd 3.10-3.22, 1 Er 3.18, 1 Pr 3.43
Cd 0.5517 0.8942 0.2033  4 Er 3.10-3.22, 2 Cd 3.14, 1 Pr 3.30
Cd 0.5517 0.1058 0.7967  4 Er 3.10-3.22, 2 Cd 3.14, 1 Pr 3.30
Cd 0.0517 0.7033 0.6058  4 Er 3.10-3.22, 2 Cd 3.14, 1 Pr 3.30
Cd 0.9483 0.3942 0.7033  4 Er 3.10-3.22, 2 Cd 3.14, 1 Pr 3.30
Cd 0.9483 0.6058 0.2967  4 Er 3.10-3.22, 2 Cd 3.14, 1 Pr 3.30
Cd 0.4483 0.2033 0.1058  4 Er 3.10-3.22, 2 Cd 3.14, 1 Pr 3.30
Cd 0.4483 0.7967 0.8942  4 Er 3.10-3.22, 2 Cd 3.14, 1 Pr 3.30
Cd 0.0517 0.2967 0.3942  4 Er 3.10-3.22, 2 Cd 3.14, 1 Pr 3.30



8.
## Pr3Er4Cd4 (PBE-GGA)

Data for crystalline Pr3Er4Cd4 at its relaxed geometry.

Unit cell a=5.2820 b=7.3717 c=9.6071 alpha=112.56 beta=105.96 gamma=90.00
Last column: nearest neighbours and their distance in Å.
Fractional coordinates of all 11 atoms:
Pr 0.1092 0.1092 0.2184  4 Er 3.52, 6 Cd 3.55-3.93, 1 Pr 3.70
Pr 0.8908 0.8908 0.7816  4 Er 3.52, 6 Cd 3.55-3.93, 1 Pr 3.70
Pr 0.0000 0.5000 0.0000  6 Cd 3.21-3.44
Er 0.3203 0.0915 0.6406  4 Cd 2.99-3.14
Er 0.6797 0.4510 0.3594  4 Cd 2.99-3.14
Er 0.6797 0.9085 0.3594  4 Cd 2.99-3.14
Er 0.3203 0.5490 0.6406  4 Cd 2.99-3.14
Cd 0.1893 0.6893 0.3785  6 Er 2.99-3.14, 1 Pr 3.21
Cd 0.8107 0.3107 0.6215  6 Er 2.99-3.14, 1 Pr 3.21
Cd 0.5000 0.7998 0.0000  1 Cd 2.95, 2 Er 3.09
Cd 0.5000 0.2002 0.0000  1 Cd 2.95, 2 Er 3.09



9.
## Pr2ErCd (PBE-GGA)

Data for crystalline Pr2ErCd at its relaxed geometry.

Unit cell a=5.5820 b=5.5820 c=5.5820 alpha=60.00 beta=60.00 gamma=60.00
Last column: nearest neighbours and their distance in Å.
Fractional coordinates of all 4 atoms:
Pr 0.2500 0.2500 0.2500  4 Cd 3.42, 4 Er 3.42
Pr 0.7500 0.7500 0.7500  4 Cd 3.42, 4 Er 3.42
Cd 0.5000 0.5000 0.5000  8 Pr 3.42
Er 0.0000 0.0000 0.0000  8 Pr 3.42



10.
## Pr8ErCd2 (PBE-GGA)

Data for crystalline Pr8ErCd2 at its relaxed geometry.

Unit cell a=5.4249 b=8.5557 c=9.0533 alpha=112.86 beta=107.43 gamma=90.00
Last column: nearest neighbours and their distance in Å.
Fractional coordinates of all 11 atoms:
Pr 0.6029 0.4680 0.2059  3 Cd 3.35-3.47, 1 Er 3.66, 2 Pr 3.71
Pr 0.3130 0.0459 0.6260  1 Cd 3.24, 4 Pr 3.36-3.56, 1 Er 3.41
Pr 0.1470 0.2047 0.2941  3 Cd 3.34-3.45, 5 Pr 3.63-3.69, 2 Er 3.64
Pr 0.0516 0.7398 0.1032  1 Cd 3.42, 7 Pr 3.56-3.75
Pr 0.8530 0.7953 0.7059  3 Cd 3.34-3.45, 5 Pr 3.63-3.69, 2 Er 3.64
Pr 0.6870 0.9541 0.3740  1 Cd 3.24, 4 Pr 3.36-3.56, 1 Er 3.41
Pr 0.3971 0.5320 0.7941  3 Cd 3.35-3.47, 1 Er 3.66, 2 Pr 3.71
Pr 0.9484 0.2602 0.8968  1 Cd 3.42, 7 Pr 3.56-3.75
Cd 0.2217 0.6319 0.4435  8 Pr 3.24-3.47
Cd 0.7783 0.3681 0.5565  8 Pr 3.24-3.47
Er 0.5000 0.0000 0.0000  8 Pr 3.41-3.66



11.
## PrEr6Cd (PBE-GGA)

Data for crystalline PrEr6Cd at its relaxed geometry.

Unit cell a=6.6295 b=6.6295 c=9.2040 alpha=110.70 beta=110.70 gamma=120.57
Last column: nearest neighbours and their distance in Å.
Fractional coordinates of all 8 atoms:
Pr 0.5000 0.5000 0.5000  6 Er 3.22-3.23, 2 Cd 3.23
Er 0.1788 0.1788 0.7569  1 Cd 3.18, 1 Pr 3.23, 6 Er 3.30-3.47
Er 0.6558 0.2359 0.2429  1 Cd 3.18, 1 Pr 3.22, 6 Er 3.32-3.50
Er 0.8212 0.8212 0.2431  1 Cd 3.18, 1 Pr 3.23, 6 Er 3.30-3.47
Er 0.7641 0.3442 0.7571  1 Cd 3.18, 1 Pr 3.22, 6 Er 3.32-3.50
Er 0.3442 0.7641 0.7571  1 Cd 3.18, 1 Pr 3.22, 6 Er 3.32-3.50
Er 0.2359 0.6558 0.2429  1 Cd 3.18, 1 Pr 3.22, 6 Er 3.32-3.50
Cd 0.0000 0.0000 0.0000  6 Er 3.18, 2 Pr 3.23



12.
## Pr5Er2Cd4 (PBE-GGA)

Data for crystalline Pr5Er2Cd4 at its relaxed geometry.

Unit cell a=3.6172 b=8.7043 c=11.6367 alpha=113.85 beta=98.94 gamma=90.00
Last column: nearest neighbours and their distance in Å.
Fractional coordinates of all 11 atoms:
Pr 0.1306 0.0140 0.2613  4 Cd 3.30-3.36, 3 Er 3.39-3.54, 4 Pr 3.47-3.62
Pr 0.8694 0.9860 0.7387  4 Cd 3.30-3.36, 3 Er 3.39-3.54, 4 Pr 3.47-3.62
Pr 0.0927 0.4170 0.1854  6 Cd 3.37-3.50, 2 Pr 3.62, 2 Er 3.77
Pr 0.5000 0.0000 0.0000  2 Cd 3.42, 6 Pr 3.47-3.62
Pr 0.9073 0.5830 0.8146  6 Cd 3.37-3.50, 2 Pr 3.62, 2 Er 3.77
Er 0.2921 0.1990 0.5841  3 Cd 3.31-3.38, 3 Pr 3.39-3.54, 4 Er 3.62-3.68
Er 0.7079 0.8010 0.4159  3 Cd 3.31-3.38, 3 Pr 3.39-3.54, 4 Er 3.62-3.68
Cd 0.5482 0.6773 0.0963  1 Cd 2.97, 2 Pr 3.30
Cd 0.7110 0.3628 0.4220  2 Cd 2.95
Cd 0.4518 0.3227 0.9037  1 Cd 2.97, 2 Pr 3.30
Cd 0.2890 0.6372 0.5780  2 Cd 2.95



Record-wise VASP energy values, in eV/atom: -3.0963, -4.2111, -4.3299, -3.7916, -4.0982, -3.7809, -3.0774, -3.4174, -3.8140, -4.1304, -3.9766, -3.4795
Record-wise magnetic moment values, in μB/f.u.: 0.000, 0.024, 0.000, 0.244, 0.000, 0.804, 0.000, 0.000, 0.000, 0.000, 0.000, 0.000
Record-wise formation energy values, in eV/f.u.: -1.05, -0.15, -0.63, -0.35, 0.01, 2.26, -1.01, -1.34, -0.22, -0.81, 1.26, -1.59